VASP calculation (PBE) on NbBN2O after structural relaxation.

## Properties
Uncorrected formation energy = 4.2 eV/f.u.
Calculated total energy = -0.5022 Ry/atom
Magnetic moment = 1.95 μB per cell
Space group = P4/mmm, No. 123

Geometry as POSCAR:
```
NbBN2O
1.0
4.135 0.000 0.000
0.000 4.135 0.000
0.000 0.000 3.974
Nb B O N
1 1 1 2
Cartesian
0.000 0.000 0.000
2.067 2.067 1.987
0.000 0.000 1.987
0.000 2.067 0.000
2.067 0.000 0.000
```